A plane-wave DFT calculation with PBE was carried out for a relaxed Ac2CuCl crystal.

Cell lengths 7.604, 7.604, 7.604 Å; angles 34.29, 34.29, 34.29 degrees
Fractional coordinates of all 4 atoms:
1 Ac 0.246 0.246 0.246
2 Ac 0.754 0.754 0.754
3 Cu 0.500 0.500 0.500
4 Cl 0.000 0.000 0.000

Output
The calculation puts the energy above the lowest structure with this stoichiometry at 0.0000 eV per atom. The formation energy (no corrections) comes out at -3.19 eV/f.u. Its crystal system is trigonal. For the final energy, the calculation gives -4.34 eV/atom. Its total moment is 0.00 μB per cell. Its volume is 31.13 A^3/atom.